[1]
VASP calculation (PBE-GGA) on a geometry-optimized Re4SiSe structure.

a b c (Å): 5.214 5.214 5.214
angles (deg): 60.00 60.00 60.00
Element x y z (fractional)
Re (0.874, 0.375, 0.375)
Re (0.375, 0.375, 0.874)
Re (0.375, 0.375, 0.375)
Se (0.750, 0.750, 0.750)
Si (0.000, 0.000, 0.000)
Re (0.375, 0.874, 0.375)

Computed properties:
The calculation puts the formation energy without anion corrections at 6.09 eV/f.u.

***

[2]
VASP calculation (PBE-GGA) on a geometry-optimized Re2SiSe structure.

a b c (Å): 4.407 4.407 5.031
angles (deg): 77.45 77.45 38.66
Element x y z (fractional)
Si (0.250, 0.250, 0.250)
Se (0.750, 0.750, 0.750)
Re (0.516, 0.516, 0.494)
Re (0.984, 0.984, 0.006)

Computed properties:
The calculation puts the formation energy without anion corrections at 1.32 eV/f.u. For the energy above the most stable polymorph in this dataset, the calculation gives 198 meV/atom.

***

[3]
VASP calculation (PBE-GGA) on a geometry-optimized Re2SiSe structure.

a b c (Å): 5.581 5.581 6.628
angles (deg): 65.10 65.10 90.00
Element x y z (fractional)
Re (0.875, 0.870, 0.750)
Re (0.375, 0.380, 0.750)
Se (0.750, 0.250, 0.500)
Re (0.130, 0.625, 0.250)
Re (0.620, 0.125, 0.250)
Si (0.500, 0.500, 0.000)
Si (0.250, 0.750, 0.500)
Se (0.000, 0.000, 0.000)

Computed properties:
The calculation puts the formation energy without anion corrections at 3.82 eV/f.u. For the energy above the most stable polymorph in this dataset, the calculation gives 824 meV/atom.

***

[4]
VASP calculation (PBE-GGA) on a geometry-optimized ReSi4Se structure.

a b c (Å): 5.039 5.039 5.039
angles (deg): 60.00 60.00 60.00
Element x y z (fractional)
Se (0.000, 0.000, 0.000)
Re (0.750, 0.750, 0.750)
Si (0.375, 0.876, 0.375)
Si (0.876, 0.375, 0.375)
Si (0.375, 0.375, 0.876)
Si (0.375, 0.375, 0.375)

Computed properties:
The calculation puts the formation energy without anion corrections at 5.05 eV/f.u.

***

[5]
VASP calculation (PBE-GGA) on a geometry-optimized ReSiSe4 structure.

a b c (Å): 5.593 5.593 5.593
angles (deg): 60.00 60.00 60.00
Element x y z (fractional)
Se (0.374, 0.879, 0.374)
Se (0.374, 0.374, 0.374)
Si (0.750, 0.750, 0.750)
Se (0.879, 0.374, 0.374)
Se (0.374, 0.374, 0.879)
Re (0.000, 0.000, 0.000)

Computed properties:
The calculation puts the formation energy without anion corrections at 8.65 eV/f.u.

***

[6]
VASP calculation (PBE-GGA) on a geometry-optimized Re2SiSe structure.

a b c (Å): 5.393 5.393 5.393
angles (deg): 147.60 134.13 57.28
Element x y z (fractional)
Re (0.994, 0.994, 0.000)
Re (0.253, 0.753, 0.500)
Se (0.487, 0.487, 0.000)
Si (0.766, 0.266, 0.500)

Computed properties:
The calculation puts the formation energy without anion corrections at 1.60 eV/f.u. For the energy above the most stable polymorph in this dataset, the calculation gives 268 meV/atom.

***

[7]
VASP calculation (PBE-GGA) on a geometry-optimized Re2SiSe structure.

a b c (Å): 3.044 3.045 6.201
angles (deg): 90.00 90.00 90.00
Element x y z (fractional)
Re (0.000, 0.000, 0.520)
Si (0.500, 0.500, 0.750)
Se (0.500, 0.500, 0.250)
Re (0.000, 0.000, 0.980)

Computed properties:
The calculation puts the formation energy without anion corrections at 0.87 eV/f.u. For the energy above the most stable polymorph in this dataset, the calculation gives 87 meV/atom.

***

[8]
VASP calculation (PBE-GGA) on a geometry-optimized ReSiSe3 structure.

a b c (Å): 4.890 4.890 4.890
angles (deg): 90.00 90.00 90.00
Element x y z (fractional)
Se (0.500, 0.000, 0.000)
Se (0.000, 0.000, 0.500)
Si (0.500, 0.500, 0.500)
Re (0.000, 0.000, 0.000)
Se (0.000, 0.500, 0.000)

Computed properties:
The calculation puts the formation energy without anion corrections at 3.93 eV/f.u. For the energy above the most stable polymorph in this dataset, the calculation gives 0 meV/atom.

***

[9]
VASP calculation (PBE-GGA) on a geometry-optimized Re2SiSe structure.

a b c (Å): 2.941 2.941 7.628
angles (deg): 90.00 90.00 90.00
Element x y z (fractional)
Re (0.500, 0.500, 0.240)
Se (0.000, 0.000, 0.449)
Si (0.500, 0.500, 0.809)
Re (0.000, 0.000, 0.002)

Computed properties:
The calculation puts the formation energy without anion corrections at 0.81 eV/f.u. For the energy above the most stable polymorph in this dataset, the calculation gives 71 meV/atom.

***

[10]
VASP calculation (PBE-GGA) on a geometry-optimized Re2SiSe structure.

a b c (Å): 2.843 2.843 8.461
angles (deg): 90.00 90.00 115.93
Element x y z (fractional)
Se (0.500, 0.500, 0.250)
Re (0.000, 0.000, 0.975)
Re (0.000, 0.000, 0.525)
Si (0.500, 0.500, 0.750)

Computed properties:
The calculation puts the formation energy without anion corrections at 2.36 eV/f.u. For the energy above the most stable polymorph in this dataset, the calculation gives 459 meV/atom.

***

[11]
VASP calculation (PBE-GGA) on a geometry-optimized Re2SiSe structure.

a b c (Å): 5.740 5.740 5.740
angles (deg): 150.72 136.70 53.13
Element x y z (fractional)
Si (0.750, 0.250, 0.500)
Re (0.949, 0.949, 0.000)
Re (0.551, 0.551, 0.000)
Se (0.250, 0.750, 0.500)

Computed properties:
The calculation puts the formation energy without anion corrections at 1.93 eV/f.u. For the energy above the most stable polymorph in this dataset, the calculation gives 351 meV/atom.

***

[12]
VASP calculation (PBE-GGA) on a geometry-optimized ReSi3Se structure.

a b c (Å): 4.711 4.711 4.711
angles (deg): 90.00 90.00 90.00
Element x y z (fractional)
Re (0.000, 0.000, 0.000)
Si (0.500, 0.000, 0.000)
Se (0.500, 0.500, 0.500)
Si (0.000, 0.500, 0.000)
Si (0.000, 0.000, 0.500)

Computed properties:
The calculation puts the formation energy without anion corrections at 2.11 eV/f.u. For the energy above the most stable polymorph in this dataset, the calculation gives 0 meV/atom.

***

[13]
VASP calculation (PBE-GGA) on a geometry-optimized Re2SiSe structure.

a b c (Å): 4.527 4.527 4.958
angles (deg): 73.75 73.75 39.61
Element x y z (fractional)
Se (0.499, 0.499, 0.529)
Re (0.986, 0.986, 0.125)
Si (0.266, 0.266, 0.117)
Re (0.749, 0.749, 0.729)

Computed properties:
The calculation puts the formation energy without anion corrections at 0.80 eV/f.u. For the energy above the most stable polymorph in this dataset, the calculation gives 68 meV/atom.

***

[14]
VASP calculation (PBE-GGA) on a geometry-optimized Ti2ReSiSe structure.

a b c (Å): 4.690 4.404 4.690
angles (deg): 90.00 90.00 90.00
Element x y z (fractional)
Re (0.000, 0.500, 0.000)
Ti (0.500, 0.000, 0.000)
Ti (0.000, 0.000, 0.500)
Si (0.000, 0.000, 0.000)
Se (0.500, 0.500, 0.500)

Computed properties:
The calculation puts the formation energy without anion corrections at 3.06 eV/f.u.

***

[15]
VASP calculation (PBE-GGA) on a geometry-optimized SmRe4Se7 structure.

a b c (Å): 6.018 4.866 17.135
angles (deg): 90.00 90.00 90.38
Element x y z (fractional)
Se (0.528, 0.107, 0.118)
Re (0.367, 0.279, 0.244)
Re (0.059, 0.741, 0.245)
Re (0.684, 0.576, 0.148)
Re (0.048, 0.386, 0.361)
Re (0.684, 0.576, 0.852)
Se (0.938, 0.876, 0.621)
Se (0.545, 0.626, 0.000)
Se (0.436, 0.297, 0.607)
Sm (0.177, 0.228, 0.000)
Se (0.487, 0.767, 0.737)
Re (0.367, 0.279, 0.756)
Se (0.956, 0.244, 0.774)
Se (0.528, 0.107, 0.882)
Re (0.059, 0.741, 0.755)
Re (0.048, 0.386, 0.639)
Se (0.059, 0.727, 0.904)
Se (0.956, 0.244, 0.226)
Se (0.938, 0.876, 0.379)
Se (0.059, 0.727, 0.096)
Se (0.487, 0.767, 0.263)
Sm (0.580, 0.804, 0.500)
Se (0.887, 0.341, 0.500)
Se (0.436, 0.297, 0.393)

Computed properties:
The calculation puts the formation energy without anion corrections at -1.36 eV/f.u.

***

[16]
VASP calculation (PBE-GGA) on a geometry-optimized SmRe4Se8 structure.

a b c (Å): 7.840 6.480 8.611
angles (deg): 90.00 127.65 114.41
Element x y z (fractional)
Se (0.978, 0.744, 0.215)
Re (0.000, 0.000, 0.000)
Re (0.500, 0.000, 0.000)
Se (0.022, 0.766, 0.785)
Sm (0.000, 0.500, 0.500)
Se (0.523, 0.261, 0.783)
Re (0.500, 0.500, 0.000)
Re (0.000, 0.500, 0.000)
Se (0.022, 0.256, 0.785)
Se (0.463, 0.232, 0.211)
Se (0.477, 0.739, 0.217)
Se (0.978, 0.234, 0.215)
Se (0.537, 0.768, 0.789)

Computed properties:
The calculation puts the formation energy without anion corrections at -2.27 eV/f.u.

***

[17]
VASP calculation (PBE-GGA) on a geometry-optimized Re4SnSe8 structure.

a b c (Å): 6.481 6.481 9.140
angles (deg): 90.00 110.77 120.00
Element x y z (fractional)
Sn (0.000, 0.500, 0.500)
Se (0.475, 0.737, 0.212)
Se (0.028, 0.264, 0.791)
Re (0.500, 0.500, 0.000)
Re (0.500, 0.000, 0.000)
Se (0.527, 0.763, 0.791)
Re (0.000, 0.500, 0.000)
Se (0.525, 0.263, 0.788)
Se (0.473, 0.237, 0.209)
Se (0.972, 0.237, 0.209)
Se (0.972, 0.736, 0.209)
Se (0.028, 0.763, 0.791)
Re (0.000, 0.000, 0.000)

Computed properties:
The calculation puts the formation energy without anion corrections at 0.84 eV/f.u.

***

[18]
VASP calculation (PBE-GGA) on a geometry-optimized Re4SnSe7 structure.

a b c (Å): 5.536 5.151 17.947
angles (deg): 90.00 90.00 90.00
Element x y z (fractional)
Re (0.600, 0.673, 0.139)
Se (0.489, 0.710, 0.000)
Se (0.021, 0.705, 0.104)
Se (0.521, 0.295, 0.396)
Sn (0.167, 0.265, 0.000)
Se (0.902, 0.171, 0.754)
Se (0.005, 0.797, 0.374)
Se (0.402, 0.829, 0.254)
Re (0.471, 0.363, 0.258)
Se (0.505, 0.203, 0.126)
Se (0.989, 0.290, 0.500)
Re (0.600, 0.673, 0.861)
Se (0.005, 0.797, 0.626)
Re (0.100, 0.327, 0.361)
Re (0.100, 0.327, 0.639)
Se (0.021, 0.705, 0.896)
Se (0.521, 0.295, 0.604)
Re (0.471, 0.363, 0.742)
Re (0.971, 0.637, 0.242)
Se (0.902, 0.171, 0.246)
Re (0.971, 0.637, 0.758)
Se (0.402, 0.829, 0.746)
Sn (0.667, 0.735, 0.500)
Se (0.505, 0.203, 0.874)

Computed properties:
The calculation puts the formation energy without anion corrections at 1.14 eV/f.u.

***

[19]
VASP calculation (PBE-GGA) on a geometry-optimized Re2SnSe structure.

a b c (Å): 6.056 6.056 6.772
angles (deg): 63.44 63.44 90.00
Element x y z (fractional)
Re (0.587, 0.125, 0.250)
Sn (0.750, 0.250, 0.500)
Se (0.500, 0.500, 0.000)
Se (0.250, 0.750, 0.500)
Re (0.875, 0.837, 0.750)
Re (0.163, 0.625, 0.250)
Re (0.375, 0.413, 0.750)
Sn (0.000, 0.000, 0.000)

Computed properties:
The calculation puts the formation energy without anion corrections at 5.33 eV/f.u. For the energy above the most stable polymorph in this dataset, the calculation gives 582 meV/atom.

***

[20]
VASP calculation (PBE-GGA) on a geometry-optimized ReSn2Se structure.

a b c (Å): 6.291 6.291 7.621
angles (deg): 65.62 65.62 90.00
Element x y z (fractional)
Sn (0.375, 0.343, 0.750)
Sn (0.657, 0.125, 0.250)
Sn (0.093, 0.625, 0.250)
Re (0.750, 0.250, 0.500)
Re (0.000, 0.000, 0.000)
Sn (0.875, 0.907, 0.750)
Se (0.250, 0.750, 0.500)
Se (0.500, 0.500, 0.000)

Computed properties:
The calculation puts the formation energy without anion corrections at 2.97 eV/f.u.

***

[21]
VASP calculation (PBE-GGA) on a geometry-optimized Re3SnSe structure.

a b c (Å): 4.593 4.593 4.593
angles (deg): 90.00 90.00 90.00
Element x y z (fractional)
Se (0.000, 0.000, 0.000)
Re (0.500, 0.000, 0.000)
Sn (0.500, 0.500, 0.500)
Re (0.000, 0.500, 0.000)
Re (0.000, 0.000, 0.500)

Computed properties:
The calculation puts the formation energy without anion corrections at 8.28 eV/f.u. For the energy above the most stable polymorph in this dataset, the calculation gives 0 meV/atom.

***

[22]
VASP calculation (PBE-GGA) on a geometry-optimized ReSn2Se structure.

a b c (Å): 4.842 4.842 4.842
angles (deg): 60.00 60.00 60.00
Element x y z (fractional)
Se (0.750, 0.750, 0.750)
Re (0.500, 0.500, 0.500)
Sn (0.250, 0.250, 0.250)
Sn (0.000, 0.000, 0.000)

Computed properties:
The calculation puts the formation energy without anion corrections at 2.81 eV/f.u.

***

[23]
VASP calculation (PBE-GGA) on a geometry-optimized Re2SnSe structure.

a b c (Å): 4.543 4.543 4.543
angles (deg): 60.00 60.00 60.00
Element x y z (fractional)
Sn (0.500, 0.500, 0.500)
Re (0.250, 0.250, 0.250)
Re (0.750, 0.750, 0.750)
Se (0.000, 0.000, 0.000)

Computed properties:
The calculation puts the formation energy without anion corrections at 3.01 eV/f.u. For the energy above the most stable polymorph in this dataset, the calculation gives 0 meV/atom.

***

[24]
VASP calculation (PBE-GGA) on a geometry-optimized Re3SnSe structure.

a b c (Å): 4.885 4.885 4.885
angles (deg): 90.00 90.00 90.00
Element x y z (fractional)
Re (0.000, 0.000, 0.500)
Re (0.500, 0.000, 0.000)
Se (0.500, 0.500, 0.500)
Re (0.000, 0.500, 0.000)
Sn (0.000, 0.000, 0.000)

Computed properties:
The calculation puts the formation energy without anion corrections at 14.79 eV/f.u. For the energy above the most stable polymorph in this dataset, the calculation gives 1303 meV/atom.

***

[25]
VASP calculation (PBE-GGA) on a geometry-optimized TlReSnSe2 structure.

a b c (Å): 5.471 5.330 5.471
angles (deg): 90.00 90.00 90.00
Element x y z (fractional)
Re (0.000, 0.500, 0.000)
Se (0.000, 0.000, 0.500)
Sn (0.000, 0.000, 0.000)
Tl (0.500, 0.500, 0.500)
Se (0.500, 0.000, 0.000)

Computed properties:
The calculation puts the formation energy without anion corrections at 5.29 eV/f.u.

***

[26]
VASP calculation (PBE-GGA) on a geometry-optimized YReSn2Se structure.

a b c (Å): 5.796 5.155 5.796
angles (deg): 90.00 90.00 90.00
Element x y z (fractional)
Y (0.000, 0.000, 0.000)
Sn (0.000, 0.000, 0.500)
Re (0.000, 0.500, 0.000)
Sn (0.500, 0.000, 0.000)
Se (0.500, 0.500, 0.500)

Computed properties:
The calculation puts the formation energy without anion corrections at 7.48 eV/f.u.